Crystalline Sm2GdMg3Pt2Au at its relaxed geometry. Source: OQMD via LeMat-Bulk, functional GGA-PBE.

POSCAR file:
```
Sm2GdMg3Pt2Au
1.0
4.082 0.000 0.000
0.000 6.527 3.782
0.000 -6.527 3.782
Sm Pt Mg Gd Au
2 2 3 1 1
Direct
0.000 0.000 0.417 Sm
0.000 0.417 0.000 Sm
0.500 0.666 0.336 Pt
0.500 0.336 0.666 Pt
0.500 0.751 0.999 Mg
0.500 0.249 0.249 Mg
0.500 0.999 0.751 Mg
0.000 0.583 0.583 Gd
0.000 0.999 0.999 Au
```

Output
ρ in g/cm³: 9.21
Raw total energy in eV/atom: -4.64

=====

Crystalline HoCo4B4 at its relaxed geometry. Source: OQMD via LeMat-Bulk, functional GGA-PBE.

POSCAR file:
```
HoCo4B4
1.0
-1.326 4.255 -2.261
-4.060 -2.249 -1.852
-3.615 1.875 5.647
B Co Ho
8 8 2
Direct
0.000 0.325 0.660 B
0.175 0.500 0.160 B
0.000 0.675 0.660 B
0.500 0.825 0.840 B
0.500 0.175 0.840 B
0.825 0.500 0.160 B
0.325 0.000 0.340 B
0.675 0.000 0.340 B
0.754 0.000 0.636 Co
0.254 0.500 0.864 Co
0.500 0.746 0.136 Co
0.746 0.500 0.864 Co
0.000 0.246 0.364 Co
0.500 0.254 0.136 Co
0.246 0.000 0.636 Co
0.000 0.754 0.364 Co
0.000 0.000 0.000 Ho
0.500 0.500 0.500 Ho
```

Output
ρ in g/cm³: 8.48
Raw total energy in eV/atom: -7.15

=====

Crystalline PaTaGe at its relaxed geometry. Source: OQMD via LeMat-Bulk, functional GGA-PBE.

POSCAR file:
```
PaTaGe
1.0
0.000 3.235 3.235
3.235 0.000 3.235
3.235 3.235 0.000
Ge Pa Ta
1 1 1
Direct
0.000 0.000 0.000 Ge
0.500 0.500 0.500 Pa
0.250 0.250 0.250 Ta
```

Output
Energy above the lowest structure with this stoichiometry in meV/atom: 0
ρ in g/cm³: 11.89